Entry from the Alexandria database: an optimized crystal structure of LiTl2Ru (PBE).

a b c (Å): 6.6927 6.6927 6.6927
angles (deg): 90.00 90.00 90.00
With the nearest neighbours (Å) after each atom.
Space group Fm-3m (No. 225)
Inequivalent atoms, fractional coordinates:
Li 0.0000 0.0000 0.0000 (multiplicity 4)  8 Tl 2.90
Tl 0.2500 0.2500 0.2500 (multiplicity 8)  4 Ru 2.90, 4 Li 2.90
Ru 0.0000 0.0000 0.5000 (multiplicity 4)  8 Tl 2.90

Output
The total magnetization comes out at 0.00 μB/cell. Its total energy is -60.7 eV per cell. For the energy above the most stable polymorph in this dataset, the calculation gives 0.069 eV per formula unit. The formation energy is 18.0 kJ/mol of atoms. Its crystal system is cubic.

---

Entry from the Alexandria database: an optimized crystal structure of LiTl3Ru (PBE).

a b c (Å): 5.2965 5.2965 5.2965
angles (deg): 90.00 90.00 90.00
With the nearest neighbours (Å) after each atom.
Space group Pm-3m (No. 221)
Inequivalent atoms, fractional coordinates:
Li 0.0000 0.0000 0.0000 (multiplicity 1)  12 Tl 3.75
Tl 0.0000 0.5000 0.5000 (multiplicity 3)  2 Ru 2.65
Ru 0.5000 0.5000 0.5000 (multiplicity 1)  6 Tl 2.65

Output
The total magnetization comes out at 0.00 μB/cell. Its total energy is -17.0 eV per cell. For the energy above the most stable polymorph in this dataset, the calculation gives 0.000 eV per formula unit. The formation energy is 24.5 kJ/mol of atoms. Its crystal system is cubic.

---

Entry from the Alexandria database: an optimized crystal structure of LiTlRu (PBE).

a b c (Å): 6.2740 6.2740 6.2740
angles (deg): 90.00 90.00 90.00
With the nearest neighbours (Å) after each atom.
Space group F-43m (No. 216)
Inequivalent atoms, fractional coordinates:
Li 0.0000 0.0000 0.0000 (multiplicity 4)  4 Ru 2.72
Tl 0.0000 0.0000 0.5000 (multiplicity 4)  4 Ru 2.72
Ru 0.2500 0.2500 0.2500 (multiplicity 4)  4 Tl 2.72, 4 Li 2.72

Output
The total magnetization comes out at 1.02 μB/cell. Its total energy is -46.6 eV per cell. For the energy above the most stable polymorph in this dataset, the calculation gives 0.950 eV per formula unit. The formation energy is 61.2 kJ/mol of atoms. Its crystal system is cubic.

---

Entry from the Alexandria database: an optimized crystal structure of LiTl2Ru (PBE).

a b c (Å): 8.7349 3.1757 5.9106
angles (deg): 90.00 99.50 90.00
With the nearest neighbours (Å) after each atom.
Space group C2/m (No. 12)
Inequivalent atoms, fractional coordinates:
Li 0.0000 0.0000 0.0000 (multiplicity 2)  6 Tl 2.83-2.96
Tl 0.2438 0.0000 0.7398 (multiplicity 4)  3 Li 2.83-2.96, 3 Ru 2.84
Ru 0.0000 0.5000 0.5000 (multiplicity 2)  6 Tl 2.84, 2 Ru 3.18

Output
The total magnetization comes out at 0.79 μB/cell. Its total energy is -29.5 eV per cell. For the energy above the most stable polymorph in this dataset, the calculation gives 0.509 eV per formula unit. The formation energy is 28.6 kJ/mol of atoms. Its crystal system is monoclinic.

---

Entry from the Alexandria database: an optimized crystal structure of LiTl2Ru (PBE).

a b c (Å): 3.9780 3.9780 9.5485
angles (deg): 90.00 90.00 90.00
With the nearest neighbours (Å) after each atom.
Space group I-4m2 (No. 119)
Inequivalent atoms, fractional coordinates:
Li 0.0000 0.0000 0.0000 (multiplicity 2)  8 Tl 2.81-3.11, 4 Ru 3.11
Tl 0.0000 0.0000 0.5000 (multiplicity 2)  4 Li 2.81, 4 Tl 3.11, 4 Ru 3.11
Tl 0.0000 0.5000 0.2500 (multiplicity 2)  4 Ru 2.81, 4 Tl 3.11, 4 Li 3.11
Ru 0.0000 0.5000 0.7500 (multiplicity 2)  8 Tl 2.81-3.11, 4 Li 3.11

Output
The total magnetization comes out at 0.37 μB/cell. Its total energy is -29.9 eV per cell. For the energy above the most stable polymorph in this dataset, the calculation gives 0.295 eV per formula unit. The formation energy is 23.4 kJ/mol of atoms. Its crystal system is tetragonal.

---

Entry from the Alexandria database: an optimized crystal structure of Li4TlRu (PBE).

a b c (Å): 7.0380 7.0380 7.0380
angles (deg): 90.00 90.00 90.00
With the nearest neighbours (Å) after each atom.
Space group F-43m (No. 216)
Inequivalent atoms, fractional coordinates:
Li 0.1228 0.1228 0.1228 (multiplicity 16)  6 Li 2.44-2.53
Tl 0.0000 0.0000 0.5000 (multiplicity 4)  12 Li 2.92, 4 Ru 3.05
Ru 0.2500 0.2500 0.7500 (multiplicity 4)  12 Li 2.91, 4 Tl 3.05

Output
The total magnetization comes out at 0.00 μB/cell. Its total energy is -73.1 eV per cell. The formation energy is 16.4 kJ/mol of atoms. Its crystal system is cubic.

---

Entry from the Alexandria database: an optimized crystal structure of LiTl2Ru (PBE).

a b c (Å): 3.2486 3.2486 26.7773
angles (deg): 90.00 90.00 120.00
With the nearest neighbours (Å) after each atom.
Space group R-3m (No. 166, hexagonal axes)
Inequivalent atoms, fractional coordinates:
Li 0.0000 0.0000 0.0000 (multiplicity 3)  6 Tl 2.99, 6 Li 3.25
Tl 0.0000 0.0000 0.2465 (multiplicity 6)  3 Ru 2.84, 3 Li 2.99
Ru 0.0000 0.0000 0.5000 (multiplicity 3)  6 Tl 2.84

Output
The total magnetization comes out at 1.43 μB/cell. Its total energy is -44.4 eV per cell. For the energy above the most stable polymorph in this dataset, the calculation gives 0.454 eV per formula unit. The formation energy is 27.2 kJ/mol of atoms. Its crystal system is trigonal.

---

Entry from the Alexandria database: an optimized crystal structure of LiTl2Ru (PBE).

a b c (Å): 3.3872 3.3872 6.5360
angles (deg): 90.00 90.00 90.00
With the nearest neighbours (Å) after each atom.
Space group P4/mmm (No. 123)
Inequivalent atoms, fractional coordinates:
Li 0.0000 0.0000 0.0000 (multiplicity 1)  8 Tl 2.91
Tl 0.5000 0.5000 0.2537 (multiplicity 2)  4 Ru 2.89, 4 Li 2.91, 1 Tl 3.22
Ru 0.0000 0.0000 0.5000 (multiplicity 1)  8 Tl 2.89

Output
The total magnetization comes out at 0.00 μB/cell. Its total energy is -15.2 eV per cell. For the energy above the most stable polymorph in this dataset, the calculation gives 0.000 eV per formula unit. The formation energy is 16.3 kJ/mol of atoms. Its crystal system is tetragonal.

---

Entry from the Alexandria database: an optimized crystal structure of LiTl2Ru (PBE).

a b c (Å): 6.8234 6.8234 6.8234
angles (deg): 90.00 90.00 90.00
With the nearest neighbours (Å) after each atom.
Space group F-43m (No. 216)
Inequivalent atoms, fractional coordinates:
Li 0.0000 0.0000 0.0000 (multiplicity 4)  4 Tl 2.95, 4 Ru 2.95
Tl 0.0000 0.0000 0.5000 (multiplicity 4)  4 Tl 2.95, 4 Ru 2.95
Tl 0.2500 0.2500 0.2500 (multiplicity 4)  4 Tl 2.95, 4 Li 2.95
Ru 0.2500 0.2500 0.7500 (multiplicity 4)  4 Li 2.95, 4 Tl 2.95

Output
The total magnetization comes out at 3.54 μB/cell. Its total energy is -55.6 eV per cell. For the energy above the most stable polymorph in this dataset, the calculation gives 1.358 eV per formula unit. The formation energy is 49.0 kJ/mol of atoms. Its crystal system is cubic.

---

Entry from the Alexandria database: an optimized crystal structure of LiTl2Ru2 (PBE).

a b c (Å): 7.7804 7.7804 3.1930
angles (deg): 90.00 90.00 90.00
With the nearest neighbours (Å) after each atom.
Space group P4/mbm (No. 127)
Inequivalent atoms, fractional coordinates:
Li 0.0000 0.0000 0.0000 (multiplicity 2)  4 Ru 3.13, 2 Li 3.19, 8 Tl 3.27
Tl 0.1828 0.3172 0.5000 (multiplicity 4)  6 Ru 2.75-2.86
Ru 0.1137 0.6137 0.0000 (multiplicity 4)  1 Ru 2.50, 2 Tl 2.75

Output
The total magnetization comes out at 0.48 μB/cell. Its total energy is -46.3 eV per cell. The formation energy is 40.0 kJ/mol of atoms. Its crystal system is tetragonal.

---

Entry from the Alexandria database: an optimized crystal structure of LiTlRu (PBE).

a b c (Å): 4.4795 4.4795 2.8648
angles (deg): 90.00 90.00 120.00
With the nearest neighbours (Å) after each atom.
Space group P3m1 (No. 156)
Inequivalent atoms, fractional coordinates:
Li 0.0000 0.0000 0.0000 (multiplicity 1)  3 Tl 2.65, 3 Ru 2.77, 2 Li 2.86
Tl 0.6667 0.3333 0.7949 (multiplicity 1)  3 Li 2.65, 2 Tl 2.86, 3 Ru 2.88
Ru 0.3333 0.6667 0.3506 (multiplicity 1)  3 Li 2.77, 2 Ru 2.86, 6 Tl 2.88-3.04

Output
The total magnetization comes out at 0.00 μB/cell. Its total energy is -12.6 eV per cell. For the energy above the most stable polymorph in this dataset, the calculation gives 0.000 eV per formula unit. The formation energy is 30.6 kJ/mol of atoms. Its crystal system is trigonal.

---

Entry from the Alexandria database: an optimized crystal structure of LiTl3Ru (PBE).

a b c (Å): 4.9552 4.9552 4.9552
angles (deg): 90.00 90.00 90.00
With the nearest neighbours (Å) after each atom.
Space group Pm-3m (No. 221)
Inequivalent atoms, fractional coordinates:
Li 0.0000 0.0000 0.0000 (multiplicity 1)  6 Tl 2.48
Tl 0.0000 0.0000 0.5000 (multiplicity 3)  2 Li 2.48
Ru 0.5000 0.5000 0.5000 (multiplicity 1)  12 Tl 3.50

Output
The total magnetization comes out at 2.30 μB/cell. Its total energy is -13.8 eV per cell. For the energy above the most stable polymorph in this dataset, the calculation gives 3.187 eV per formula unit. The formation energy is 86.0 kJ/mol of atoms. Its crystal system is cubic.

---

Entry from the Alexandria database: an optimized crystal structure of Li3TlRu (PBE).

a b c (Å): 4.7029 4.7029 4.7029
angles (deg): 90.00 90.00 90.00
With the nearest neighbours (Å) after each atom.
Space group Pm-3m (No. 221)
Inequivalent atoms, fractional coordinates:
Li 0.0000 0.0000 0.5000 (multiplicity 3)  2 Ru 2.35
Tl 0.5000 0.5000 0.5000 (multiplicity 1)  12 Li 3.33
Ru 0.0000 0.0000 0.0000 (multiplicity 1)  6 Li 2.35

Output
The total magnetization comes out at 0.14 μB/cell. Its total energy is -14.3 eV per cell. For the energy above the most stable polymorph in this dataset, the calculation gives 0.000 eV per formula unit. The formation energy is 60.3 kJ/mol of atoms. Its crystal system is cubic.

---

Entry from the Alexandria database: an optimized crystal structure of LiTl2Ru (PBE).

a b c (Å): 3.6521 3.6521 5.8616
angles (deg): 90.00 90.00 90.00
With the nearest neighbours (Å) after each atom.
Space group P4mm (No. 99)
Inequivalent atoms, fractional coordinates:
Li 0.0000 0.0000 0.0000 (multiplicity 1)  1 Tl 2.58
Tl 0.0000 0.0000 0.4408 (multiplicity 1)  1 Li 2.58, 4 Ru 2.83
Tl 0.5000 0.5000 0.7733 (multiplicity 1)  1 Ru 2.76, 4 Li 2.90
Ru 0.5000 0.5000 0.2438 (multiplicity 1)  5 Tl 2.76-2.83, 4 Li 2.95

Output
The total magnetization comes out at 0.00 μB/cell. Its total energy is -14.8 eV per cell. For the energy above the most stable polymorph in this dataset, the calculation gives 0.468 eV per formula unit. The formation energy is 27.6 kJ/mol of atoms. Its crystal system is tetragonal.

---

Entry from the Alexandria database: an optimized crystal structure of LiTlZnRu2 (PBE).

a b c (Å): 5.0212 5.0212 4.5622
angles (deg): 90.00 90.00 90.00
With the nearest neighbours (Å) after each atom.
Space group P4/mmm (No. 123)
Inequivalent atoms, fractional coordinates:
Li 0.0000 0.0000 0.0000 (multiplicity 1)  2 Tl 2.28
Tl 0.0000 0.0000 0.5000 (multiplicity 1)  2 Li 2.28, 4 Ru 2.51
Zn 0.5000 0.5000 0.0000 (multiplicity 1)  8 Ru 3.39, 4 Li 3.55
Ru 0.0000 0.5000 0.5000 (multiplicity 2)  2 Tl 2.51

Output
The total magnetization comes out at 2.08 μB/cell. Its total energy is -16.6 eV per cell. The formation energy is 145.1 kJ/mol of atoms. Its crystal system is tetragonal.

---

Entry from the Alexandria database: an optimized crystal structure of LiTmRu (PBE).

a b c (Å): 3.4427 3.4427 8.7994
angles (deg): 90.00 90.00 90.00
With the nearest neighbours (Å) after each atom.
Space group I4mm (No. 107)
Inequivalent atoms, fractional coordinates:
Li 0.0000 0.0000 0.0000 (multiplicity 2)  5 Tm 2.69-2.98, 4 Ru 2.72
Tm 0.0000 0.0000 0.3055 (multiplicity 2)  5 Li 2.69-2.98, 5 Ru 2.85-2.92
Ru 0.0000 0.0000 0.6374 (multiplicity 2)  4 Li 2.72, 5 Tm 2.85-2.92

Output
The total magnetization comes out at 0.00 μB/cell. Its total energy is -31.9 eV per cell. For the energy above the most stable polymorph in this dataset, the calculation gives 0.000 eV per formula unit. The formation energy is -9.6 kJ/mol of atoms. Its crystal system is tetragonal.

---

Entry from the Alexandria database: an optimized crystal structure of LiTm4Ru (PBE).

a b c (Å): 9.8226 9.8226 7.1974
angles (deg): 90.00 90.00 90.00
With the nearest neighbours (Å) after each atom.
Space group I4_1md (No. 109)
Inequivalent atoms, fractional coordinates:
Li 0.0000 0.0000 0.0000 (multiplicity 4)  2 Tm 2.68, 1 Ru 2.89
Tm 0.0000 0.2631 0.4344 (multiplicity 8)  2 Ru 2.59-2.81, 1 Li 2.68
Tm 0.0000 0.3073 0.9191 (multiplicity 8)  1 Ru 2.70
Ru 0.0000 0.0000 0.4020 (multiplicity 4)  6 Tm 2.59-2.81, 1 Li 2.89

Output
The total magnetization comes out at 0.00 μB/cell. Its total energy is -114.0 eV per cell. The formation energy is 9.2 kJ/mol of atoms. Its crystal system is tetragonal.

---

Entry from the Alexandria database: an optimized crystal structure of LiTm2Ru (PBE).

a b c (Å): 6.8511 6.8511 6.8511
angles (deg): 90.00 90.00 90.00
With the nearest neighbours (Å) after each atom.
Space group Fm-3m (No. 225)
Inequivalent atoms, fractional coordinates:
Li 0.0000 0.0000 0.0000 (multiplicity 4)  8 Tm 2.97
Tm 0.2500 0.2500 0.2500 (multiplicity 8)  4 Li 2.97, 4 Ru 2.97
Ru 0.0000 0.0000 0.5000 (multiplicity 4)  8 Tm 2.97

Output
The total magnetization comes out at 0.00 μB/cell. Its total energy is -85.8 eV per cell. For the energy above the most stable polymorph in this dataset, the calculation gives 0.000 eV per formula unit. The formation energy is -32.0 kJ/mol of atoms. Its crystal system is cubic.

---

Entry from the Alexandria database: an optimized crystal structure of LiTm5Ru4 (PBE).

a b c (Å): 3.3692 3.3692 17.9625
angles (deg): 90.00 90.00 90.00
With the nearest neighbours (Å) after each atom.
Space group P4/mmm (No. 123)
Inequivalent atoms, fractional coordinates:
Li 0.0000 0.0000 0.0000 (multiplicity 1)  8 Tm 3.35, 4 Li 3.37
Tm 0.5000 0.5000 0.1309 (multiplicity 2)  4 Ru 2.82
Tm 0.5000 0.5000 0.3148 (multiplicity 2)  8 Ru 2.90-2.98
Tm 0.5000 0.5000 0.5000 (multiplicity 1)  8 Ru 2.92
Ru 0.0000 0.0000 0.2148 (multiplicity 2)  8 Tm 2.82-2.98
Ru 0.0000 0.0000 0.4064 (multiplicity 2)  8 Tm 2.90-2.92

Output
The total magnetization comes out at 0.00 μB/cell. Its total energy is -65.3 eV per cell. The formation energy is -37.4 kJ/mol of atoms. Its crystal system is tetragonal.

---

Entry from the Alexandria database: an optimized crystal structure of LiTm2Ru (PBE).

a b c (Å): 3.7972 3.7972 25.6889
angles (deg): 90.00 90.00 120.00
With the nearest neighbours (Å) after each atom.
Space group R-3m (No. 166, hexagonal axes)
Inequivalent atoms, fractional coordinates:
Li 0.0000 0.0000 0.0000 (multiplicity 3)  6 Tm 3.50, 6 Li 3.80
Tm 0.0000 0.0000 0.2272 (multiplicity 6)  3 Ru 2.69
Ru 0.0000 0.0000 0.5000 (multiplicity 3)  6 Tm 2.69

Output
The total magnetization comes out at 0.00 μB/cell. Its total energy is -61.0 eV per cell. For the energy above the most stable polymorph in this dataset, the calculation gives 1.129 eV per formula unit. The formation energy is -4.8 kJ/mol of atoms. Its crystal system is trigonal.